A relaxed structure of MnAlGa2O6, computed with GGA+U.

Its uncorrected energy is -6.627 eV per atom. The density of states at the Fermi level comes out at 0.000 states/eV/atom.

Structure (CIF):
```
data_MnAlGa2O6
_symmetry_space_group_name_H-M 'P 1'
_symmetry_Int_Tables_number 1
_cell_length_a 4.976
_cell_length_b 4.993
_cell_length_c 5.329
_cell_angle_alpha 62.10
_cell_angle_beta 62.19
_cell_angle_gamma 59.93
loop_
_symmetry_equiv_pos_as_xyz
'x,y,z'
loop_
_atom_site_label
_atom_site_type_symbol
_atom_site_fract_x
_atom_site_fract_y
_atom_site_fract_z
Mn1 Mn 0.818 0.817 0.547
Al1 Al 0.315 0.315 0.054
Ga1 Ga 0.523 0.523 0.431
Ga2 Ga 0.026 0.024 0.924
O1 O 0.597 0.216 0.257
O2 O 0.216 0.931 0.255
O3 O 0.930 0.597 0.255
O4 O 0.422 0.706 0.763
O5 O 0.706 0.110 0.764
O6 O 0.108 0.421 0.765
```